Computed, not measured: a relaxed CaNdBi2 crystal at the GGA-PBE level of DFT.

Output
calculated volume: 139.3 Å³/cell
ΔE_f: -0.76 eV/atom
D(E_F): 0.572 states/eV/atom
size of the total moment: 0.000 μB/cell

Cell: 4.508 4.508 8.331 Å, 74.31 74.31 59.99°
Atoms (fractional coordinates):
Bi 0.751 0.751 0.747
Ca 0.000 0.000 0.000
Nd 0.500 0.500 0.500
Bi 0.249 0.249 0.253

***

Computed, not measured: a relaxed CaNd2Bi crystal at the GGA-PBE level of DFT.

Output
calculated volume: 145.7 Å³/cell
ΔE_f: 0.04 eV/atom
D(E_F): 1.152 states/eV/atom
size of the total moment: 0.000 μB/cell

Cell: 3.636 3.636 12.895 Å, 81.89 81.89 60.00°
Atoms (fractional coordinates):
Bi 0.000 0.000 0.000
Nd 0.084 0.084 0.747
Ca 0.500 0.500 0.500
Nd 0.916 0.916 0.253

***

Computed, not measured: a relaxed CaNd8Bi6 crystal at the GGA-PBE level of DFT.

Output
calculated volume: 538.3 Å³/cell
ΔE_f: -0.60 eV/atom
D(E_F): 1.211 states/eV/atom
size of the total moment: 0.004 μB/cell

Cell: 8.536 8.536 9.852 Å, 64.33 64.33 60.00°
Atoms (fractional coordinates):
Bi 0.933 0.268 0.203
Bi 0.067 0.732 0.797
Nd 0.450 0.793 0.634
Bi 0.732 0.404 0.797
Bi 0.268 0.596 0.203
Nd 0.667 0.667 0.000
Bi 0.596 0.933 0.203
Nd 0.877 0.550 0.366
Bi 0.404 0.067 0.797
Nd 0.207 0.877 0.366
Ca 0.000 0.000 0.000
Nd 0.123 0.450 0.634
Nd 0.550 0.207 0.366
Nd 0.333 0.333 0.000
Nd 0.793 0.123 0.634

***

Computed, not measured: a relaxed CaNd2BiO6 crystal at the GGA-PBE level of DFT.

Output
calculated volume: 162.1 Å³/cell
formation energy from raw total energies: -2557 meV per atom
D(E_F): 0.248 states/eV/atom
size of the total moment: 0.980 μB/cell

Cell: 6.021 6.021 6.224 Å, 61.07 61.07 60.00°
Site moments in Bohr magnetons follow the coordinates.
Atoms (fractional coordinates):
O 0.201 0.932 0.253  0.15
O 0.691 0.126 0.762  0.07
O 0.932 0.615 0.253  0.15
O 0.615 0.201 0.253  0.15
Bi 0.313 0.313 0.062  0.12
Ca 0.807 0.807 0.580  0.01
Nd 0.529 0.529 0.413  0.01
O 0.126 0.421 0.762  0.07
O 0.421 0.691 0.762  0.07
Nd 0.029 0.029 0.914  0.00

***

Computed, not measured: a relaxed CaNdBiO crystal at the GGA-PBE level of DFT.

Output
calculated volume: 201.9 Å³/cell
formation energy from raw total energies: -1895 meV per atom
D(E_F): 0.228 states/eV/atom
size of the total moment: 0.000 μB/cell

Cell: 4.735 4.735 9.006 Å, 90.00 90.00 90.00°
Atoms (fractional coordinates):
Ca 0.500 0.000 0.834
Nd 0.500 0.500 0.500
Bi 0.500 0.000 0.202
O 0.000 0.500 0.424
O 0.500 0.000 0.576
Nd 0.000 0.000 0.500
Bi 0.000 0.500 0.798
Ca 0.000 0.500 0.166

***

Computed, not measured: a relaxed Ca2NdBiO6 crystal at the GGA-PBE level of DFT.

Output
calculated volume: 154.2 Å³/cell
formation energy from raw total energies: -2382 meV per atom
D(E_F): 0.000 states/eV/atom
size of the total moment: 0.000 μB/cell

Cell: 5.894 5.894 6.154 Å, 61.39 61.38 60.00°
Atoms (fractional coordinates):
O 0.958 0.590 0.251
O 0.123 0.424 0.769
O 0.424 0.684 0.769
Nd 0.807 0.807 0.578
Ca 0.531 0.531 0.408
Bi 0.317 0.317 0.048
O 0.590 0.201 0.251
Ca 0.026 0.026 0.921
O 0.684 0.123 0.769
O 0.201 0.958 0.251

***

Computed, not measured: a relaxed Ca3NdBi2P crystal at the GGA-PBE level of DFT.

Output
calculated volume: 239.3 Å³/cell
ΔE_f: -0.93 eV/atom
D(E_F): 0.050 states/eV/atom
size of the total moment: 0.000 μB/cell

Cell: 5.477 5.269 9.120 Å, 106.79 107.47 90.00°
Atoms (fractional coordinates):
Nd 0.500 0.000 0.000
Bi 0.635 0.635 0.270
Ca 0.000 0.500 0.000
Ca 0.828 0.828 0.655
Bi 0.365 0.365 0.730
P 0.000 0.000 0.000
Ca 0.172 0.172 0.345

***

Computed, not measured: a relaxed CaNdBiPb crystal at the GGA-PBE level of DFT.

Output
calculated volume: 125.7 Å³/cell
ΔE_f: -0.54 eV/atom
D(E_F): 1.182 states/eV/atom
size of the total moment: 0.000 μB/cell

Cell: 5.622 5.622 5.622 Å, 60.00 60.00 60.00°
Atoms (fractional coordinates):
Ca 0.500 0.500 0.500
Nd 0.000 0.000 0.000
Pb 0.250 0.250 0.250
Bi 0.750 0.750 0.750

***

Computed, not measured: a relaxed CaNdBi4Pb2 crystal at the GGA-PBE level of DFT.

Output
calculated volume: 248.5 Å³/cell
ΔE_f: -0.41 eV/atom
D(E_F): 0.713 states/eV/atom
size of the total moment: 0.000 μB/cell

Cell: 6.940 6.940 6.938 Å, 116.00 116.00 97.09°
Atoms (fractional coordinates):
Pb 0.062 0.562 0.500
Ca 0.562 0.562 0.000
Bi 0.562 0.562 0.501
Pb 0.562 0.062 0.500
Bi 0.062 0.062 0.499
Nd 0.063 0.063 0.000
Bi 0.062 0.562 0.000
Bi 0.562 0.062 0.000

***

Computed, not measured: a relaxed CaPm3Nd2Bi6 crystal at the GGA-PBE level of DFT.

Output
calculated volume: 412.7 Å³/cell
ΔE_f: -0.89 eV/atom
D(E_F): 0.406 states/eV/atom
size of the total moment: 0.000 μB/cell

Cell: 4.594 9.203 10.293 Å, 103.01 102.89 90.00°
Atoms (fractional coordinates):
Bi 0.999 0.252 0.999
Bi 0.001 0.748 0.001
Pm 0.834 0.166 0.667
Nd 0.166 0.332 0.332
Pm 0.500 0.500 0.000
Bi 0.667 0.584 0.333
Ca 0.500 0.000 0.000
Bi 0.667 0.082 0.334
Bi 0.333 0.918 0.666
Bi 0.333 0.416 0.667
Nd 0.834 0.668 0.668
Pm 0.166 0.834 0.333

***

Computed, not measured: a relaxed CaPmNd2Bi4 crystal at the GGA-PBE level of DFT.

Output
calculated volume: 276.7 Å³/cell
ΔE_f: -0.86 eV/atom
D(E_F): 0.519 states/eV/atom
size of the total moment: 0.000 μB/cell

Cell: 4.593 7.981 8.000 Å, 70.64 90.00 90.00°
Atoms (fractional coordinates):
Nd 0.000 0.000 0.000
Bi 0.500 0.750 0.249
Bi 0.500 0.250 0.751
Nd 0.500 0.000 0.500
Pm 0.500 0.500 0.000
Bi 0.000 0.749 0.751
Bi 0.000 0.251 0.249
Ca 0.000 0.500 0.500

***

Computed, not measured: a relaxed CaNdBiPt crystal at the GGA-PBE level of DFT.

Output
calculated volume: 106.8 Å³/cell
ΔE_f: -0.80 eV/atom
D(E_F): 0.263 states/eV/atom
size of the total moment: 0.000 μB/cell

Cell: 5.325 5.325 5.325 Å, 60.00 60.00 60.00°
Atoms (fractional coordinates):
Ca 0.000 0.000 0.000
Pt 0.750 0.750 0.750
Nd 0.500 0.500 0.500
Bi 0.250 0.250 0.250

***

Computed, not measured: a relaxed Ca3NdBi2S crystal at the GGA-PBE level of DFT.

Output
calculated volume: 232.1 Å³/cell
formation energy from raw total energies: -1077 meV per atom
D(E_F): 0.448 states/eV/atom
size of the total moment: 0.000 μB/cell

Cell: 5.376 5.208 9.096 Å, 106.63 107.19 90.00°
Atoms (fractional coordinates):
S 0.000 0.000 0.000
Ca 0.828 0.828 0.655
Bi 0.636 0.636 0.271
Nd 0.500 0.000 0.000
Bi 0.364 0.364 0.729
Ca 0.000 0.500 0.000
Ca 0.172 0.172 0.345

***

Computed, not measured: a relaxed CaNd2SmBi4 crystal at the GGA-PBE level of DFT.

Output
calculated volume: 275.7 Å³/cell
ΔE_f: -0.86 eV/atom
D(E_F): 0.512 states/eV/atom
size of the total moment: 0.000 μB/cell

Cell: 4.587 7.967 7.996 Å, 70.64 90.00 90.00°
Atoms (fractional coordinates):
Sm 0.500 0.500 0.000
Nd 0.000 0.000 0.000
Bi 0.500 0.749 0.248
Ca 0.000 0.500 0.500
Nd 0.500 0.000 0.500
Bi 0.500 0.251 0.752
Bi 0.000 0.252 0.248
Bi 0.000 0.748 0.752

***

Computed, not measured: a relaxed CaNdSnBi crystal at the GGA-PBE level of DFT.

Output
calculated volume: 122.5 Å³/cell
ΔE_f: -0.59 eV/atom
D(E_F): 1.161 states/eV/atom
size of the total moment: 0.000 μB/cell

Cell: 5.574 5.574 5.574 Å, 60.00 60.00 60.00°
Atoms (fractional coordinates):
Ca 0.500 0.500 0.500
Nd 0.000 0.000 0.000
Bi 0.750 0.750 0.750
Sn 0.250 0.250 0.250

***

Computed, not measured: a relaxed CaTb3Nd2Bi6 crystal at the GGA-PBE level of DFT.

Output
calculated volume: 401.1 Å³/cell
ΔE_f: -0.86 eV/atom
D(E_F): 0.355 states/eV/atom
size of the total moment: 0.000 μB/cell

Cell: 4.548 9.124 10.198 Å, 103.18 102.88 90.00°
Atoms (fractional coordinates):
Bi 0.332 0.921 0.663
Tb 0.500 0.500 0.000
Bi 0.665 0.587 0.331
Bi 0.998 0.255 0.996
Nd 0.166 0.331 0.331
Nd 0.834 0.669 0.669
Bi 0.002 0.745 0.004
Ca 0.500 0.000 0.000
Tb 0.833 0.166 0.667
Tb 0.167 0.834 0.333
Bi 0.668 0.079 0.337
Bi 0.335 0.413 0.669

***

Computed, not measured: a relaxed Ca2NdThBi4 crystal at the GGA-PBE level of DFT.

Output
calculated volume: 279.6 Å³/cell
ΔE_f: -0.76 eV/atom
D(E_F): 0.687 states/eV/atom
size of the total moment: 0.000 μB/cell

Cell: 4.633 8.039 7.972 Å, 109.64 90.00 90.00°
Atoms (fractional coordinates):
Bi 0.500 0.750 0.753
Bi 0.000 0.252 0.753
Ca 0.500 0.000 0.500
Bi 0.500 0.250 0.247
Bi 0.000 0.748 0.247
Nd 0.000 0.000 0.000
Th 0.500 0.500 0.000
Ca 0.000 0.500 0.500

***

Computed, not measured: a relaxed CaNd2ThBi4 crystal at the GGA-PBE level of DFT.

Output
calculated volume: 277.7 Å³/cell
ΔE_f: -0.83 eV/atom
D(E_F): 0.163 states/eV/atom
size of the total moment: 0.000 μB/cell

Cell: 4.621 7.966 7.993 Å, 109.30 90.00 90.00°
Atoms (fractional coordinates):
Bi 0.500 0.751 0.752
Ca 0.500 0.500 0.000
Bi 0.000 0.752 0.248
Nd 0.500 0.000 0.500
Bi 0.000 0.248 0.752
Bi 0.500 0.249 0.248
Nd 0.000 0.500 0.500
Th 0.000 0.000 0.000

***

Computed, not measured: a relaxed Ca3NdTh2Bi6 crystal at the GGA-PBE level of DFT.

Output
calculated volume: 419.3 Å³/cell
ΔE_f: -0.76 eV/atom
D(E_F): 0.532 states/eV/atom
size of the total moment: 0.000 μB/cell

Cell: 8.038 8.038 7.955 Å, 99.69 99.69 119.97°
Atoms (fractional coordinates):
Bi 0.918 0.582 0.753
Ca 0.500 0.500 0.500
Nd 0.000 0.000 0.000
Th 0.667 0.333 0.000
Bi 0.418 0.082 0.247
Ca 0.834 0.166 0.500
Th 0.333 0.667 0.000
Bi 0.582 0.918 0.753
Bi 0.747 0.747 0.247
Bi 0.082 0.418 0.247
Bi 0.253 0.253 0.753
Ca 0.166 0.834 0.500

***

Computed, not measured: a relaxed CaNdTm2Bi4 crystal at the GGA-PBE level of DFT.

Output
calculated volume: 262.3 Å³/cell
ΔE_f: -0.79 eV/atom
D(E_F): 0.403 states/eV/atom
size of the total moment: 0.000 μB/cell

Cell: 4.499 7.884 7.828 Å, 70.85 90.00 90.00°
Atoms (fractional coordinates):
Nd 0.000 0.500 0.500
Ca 0.500 0.500 0.000
Tm 0.500 0.000 0.500
Bi 0.000 0.237 0.254
Tm 0.000 0.000 0.000
Bi 0.500 0.762 0.246
Bi 0.500 0.238 0.754
Bi 0.000 0.763 0.746

***

Computed, not measured: a relaxed CaNdY2Bi4 crystal at the GGA-PBE level of DFT.

Output
calculated volume: 266.6 Å³/cell
ΔE_f: -0.84 eV/atom
D(E_F): 0.427 states/eV/atom
size of the total moment: 0.000 μB/cell

Cell: 4.523 7.924 7.875 Å, 70.84 90.00 90.00°
Atoms (fractional coordinates):
Ca 0.500 0.500 0.000
Bi 0.500 0.758 0.247
Nd 0.000 0.500 0.500
Bi 0.500 0.242 0.753
Y 0.500 0.000 0.500
Bi 0.000 0.241 0.253
Y 0.000 0.000 0.000
Bi 0.000 0.759 0.747

***

Computed, not measured: a relaxed CaNd2YBi4 crystal at the GGA-PBE level of DFT.

Output
calculated volume: 272.0 Å³/cell
ΔE_f: -0.85 eV/atom
D(E_F): 0.485 states/eV/atom
size of the total moment: 0.000 μB/cell

Cell: 4.566 7.912 7.981 Å, 70.67 90.00 90.00°
Atoms (fractional coordinates):
Bi 0.500 0.256 0.745
Y 0.000 0.500 0.500
Bi 0.000 0.253 0.253
Nd 0.000 0.000 0.000
Ca 0.500 0.500 0.000
Bi 0.000 0.747 0.747
Nd 0.500 0.000 0.500
Bi 0.500 0.744 0.255

***

Computed, not measured: a relaxed CaNdZnBi crystal at the GGA-PBE level of DFT.

Output
calculated volume: 113.2 Å³/cell
ΔE_f: -0.44 eV/atom
D(E_F): 1.030 states/eV/atom
size of the total moment: 0.000 μB/cell

Cell: 5.430 5.430 5.430 Å, 60.00 60.00 60.00°
Atoms (fractional coordinates):
Bi 0.250 0.250 0.250
Zn 0.750 0.750 0.750
Ca 0.500 0.500 0.500
Nd 0.000 0.000 0.000

***

Computed, not measured: a relaxed CaNi3Bi crystal at the GGA-PBE level of DFT.

Output
calculated volume: 112.5 Å³/cell
ΔE_f: 0.49 eV/atom
D(E_F): 1.409 states/eV/atom
size of the total moment: 0.000 μB/cell

Cell: 4.827 4.827 4.827 Å, 90.00 90.00 90.00°
Atoms (fractional coordinates):
Ni 0.000 0.000 0.500
Ni 0.000 0.500 0.000
Bi 0.000 0.000 0.000
Ni 0.500 0.000 0.000
Ca 0.500 0.500 0.500